Record 1
A plane-wave DFT calculation with PBE was carried out for a geometry-optimized SrMnFe2 structure.

The crystal system is tetragonal. The calculation puts the energy of formation from the pure elements at 0.866 eV per atom.

The space group is I4_1/amd (No. 141, origin choice 2) and the conventional cell measures 4.7775, 4.7775 and 14.8300 Å, with angles of 90.00, 90.00 and 90.00 degrees. The asymmetric unit holds Sr at (0.0000, 0.2500, 0.3750), Mn at (0.0000, 0.2500, 0.8750) and Fe at (0.0000, 0.0000, 0.0000).


Record 2
A plane-wave DFT calculation with PBE was carried out for a geometry-optimized LaAlSi2 structure.

The value obtained for the formation energy from raw total energies is -0.214 eV/atom. The crystal system is orthorhombic.

The space group is Pmmm (No. 47) and the conventional cell measures 3.1076, 4.4887 and 5.9563 Å, with angles of 90.00, 90.00 and 90.00 degrees. The asymmetric unit holds La at (0.0000, 0.0000, 0.0000), Al at (0.5000, 0.0000, 0.5000) and Si at (0.5000, 0.5000, 0.2916).


Record 3
A plane-wave DFT calculation with PBE was carried out for a geometry-optimized BaSbAu2Se4 structure.

The value obtained for the formation energy from raw total energies is -0.577 eV/atom. The crystal system is orthorhombic.

The space group is I222 (No. 23) and the conventional cell measures 6.8293, 8.2775 and 8.6696 Å, with angles of 90.00, 90.00 and 90.00 degrees. The asymmetric unit holds Ba at (0.0000, 0.0000, 0.0000), Sb at (0.0000, 0.0000, 0.5000), Au at (0.0000, 0.5000, 0.1772) and Se at (0.2169, 0.1868, 0.3122).


Record 4
A plane-wave DFT calculation with PBE was carried out for a geometry-optimized Br2OF3 structure.

The value obtained for the formation energy from raw total energies is -0.505 eV/atom. The crystal system is monoclinic.

The space group is P2_1/c (No. 14) and the conventional cell measures 6.1286, 11.9391 and 7.7640 Å, with angles of 90.00, 102.96 and 90.00 degrees. The asymmetric unit holds Br at (0.0058, 0.2081, 0.1981), Br at (0.2629, 0.0083, 0.6955), O at (0.2215, 0.6414, 0.1945), F at (0.2486, 0.0206, 0.9330), F at (0.2607, 0.5034, 0.9522) and F at (0.2670, 0.2152, 0.6496).


| no. | calculated density (g/cm³) |
| --- | --- |
| 1 | 4.99 |
| 2 | 4.44 |
| 3 | 6.57 |
| 4 | 2.79 |